(1)
Here is an optimized crystal structure of Rb2CuNi2 from the Alexandria database. Energies are from PBE.

The structure in extended XYZ format:
```
5
Lattice="-3.396 0.083 0.402 0.347 -1.208 3.181 -0.834 9.481 5.532" Properties=species:S:1:pos:R:3 pbc="T T T"
Ni -2.877 4.501 3.863
Ni -1.006 3.855 5.252
Rb -1.368 1.713 2.639
Cu 0.000 0.000 0.000
Rb -2.515 6.642 6.476
```

Magnetization (μB per cell): 1.07
Relative energy among the computed polymorphs (eV/atom): 0.000
Formation enthalpy at 0 K (meV per atom): 667

=====

(2)
Here is an optimized crystal structure of La4TbEr10 from the Alexandria database. Energies are from PBE.

The structure in extended XYZ format:
```
15
Lattice="-3.843 6.342 1.738 -1.119 1.367 9.224 5.448 7.570 1.111" Properties=species:S:1:pos:R:3 pbc="T T T"
La 0.631 11.956 7.832
La -0.144 3.323 4.242
Er -0.718 9.225 6.471
La 0.753 8.634 3.536
La -0.267 6.646 8.537
Er 2.046 11.376 4.873
Tb 0.000 0.000 0.000
Er 1.120 9.375 9.850
Er -0.833 12.598 10.734
Er -0.634 5.905 2.223
Er 3.999 8.152 3.990
Er -3.513 7.127 8.084
Er 1.319 2.681 1.340
Er -1.560 3.904 7.201
Er 1.204 6.054 5.602
```

Magnetization (μB per cell): 5.57
Formation enthalpy at 0 K (meV per atom): 792

=====

Please write out number 1 again, unchanged.
Here is an optimized crystal structure of Rb2CuNi2 from the Alexandria database. Energies are from PBE.

The structure in extended XYZ format:
```
5
Lattice="-3.396 0.083 0.402 0.347 -1.208 3.181 -0.834 9.481 5.532" Properties=species:S:1:pos:R:3 pbc="T T T"
Ni -2.877 4.501 3.863
Ni -1.006 3.855 5.252
Rb -1.368 1.713 2.639
Cu 0.000 0.000 0.000
Rb -2.515 6.642 6.476
```

Magnetization (μB per cell): 1.07
Relative energy among the computed polymorphs (eV/atom): 0.000
Formation enthalpy at 0 K (meV per atom): 667

=====

Question: The lowest magnetization belongs to which entry?
Answer: Rb2CuNi2